The following is a DFT calculation (GGA-PBE) of crystalline YTeI2O at its relaxed geometry.

For the total magnetization, the calculation gives 0.001 μB per formula unit. As for the space group: P4/mmm, No. 123. The uncorrected formation energy comes out at -0.2382 eV per atom. For the total energy, the calculation gives -18.86 eV/f.u. The calculation puts the mass density at 6.21 Mg/m³. The energy relative to the lowest polymorph listed for this composition is 69.0 kJ per mole of atoms.

Cell: 5.369 5.369 4.511 Å, 90.00 90.00 90.00°
Element x y z (fractional)
1 I 0.000 0.500 0.000
2 I 0.500 0.000 0.000
3 Y 0.500 0.500 0.500
4 Te 0.000 0.000 0.500
5 O 0.000 0.000 0.000

---

The following is a DFT calculation (GGA-PBE) of crystalline YTeI2O at its relaxed geometry.

For the total magnetization, the calculation gives 0.000 μB per formula unit. As for the space group: P4/mmm, No. 123. The uncorrected formation energy comes out at -0.9532 eV per atom. For the total energy, the calculation gives -22.43 eV/f.u. The calculation puts the mass density at 5.00 Mg/m³. The energy relative to the lowest polymorph listed for this composition is 0.0 kJ per mole of atoms.

Cell: 6.245 6.245 4.140 Å, 90.00 90.00 90.00°
Element x y z (fractional)
1 I 0.000 0.500 0.000
2 I 0.500 0.000 0.000
3 Y 0.000 0.000 0.000
4 Te 0.500 0.500 0.500
5 O 0.000 0.000 0.500

---

The following is a DFT calculation (GGA-PBE) of crystalline YTe2IO at its relaxed geometry.

For the total magnetization, the calculation gives 0.000 μB per formula unit. As for the space group: P4/mmm, No. 123. The uncorrected formation energy comes out at -0.4961 eV per atom. For the total energy, the calculation gives -21.74 eV/f.u. The calculation puts the mass density at 6.40 Mg/m³. The energy relative to the lowest polymorph listed for this composition is 0.0 kJ per mole of atoms.

Cell: 4.587 4.587 6.009 Å, 90.00 90.00 90.00°
Element x y z (fractional)
1 I 0.000 0.000 0.500
2 Y 0.500 0.500 0.500
3 Te 0.000 0.500 0.000
4 Te 0.500 0.000 0.000
5 O 0.000 0.000 0.000

---

The following is a DFT calculation (GGA-PBE) of crystalline YTeIO4 at its relaxed geometry.

For the total magnetization, the calculation gives 0.000 μB per formula unit. As for the space group: C2/m, No. 12. The uncorrected formation energy comes out at -1.5732 eV per atom. For the total energy, the calculation gives -42.00 eV/f.u. The calculation puts the mass density at 4.93 Mg/m³.

Cell: 6.736 6.736 6.985 Å, 76.87 76.87 64.01°
Element x y z (fractional)
1 Y 0.253 0.253 0.866
2 Y 0.747 0.747 0.134
3 Te 0.630 0.630 0.739
4 Te 0.370 0.370 0.261
5 I 0.002 0.002 0.253
6 I 0.998 0.998 0.747
7 O 0.301 0.301 0.532
8 O 0.699 0.699 0.468
9 O 0.112 0.484 0.137
10 O 0.539 0.539 0.193
11 O 0.516 0.888 0.863
12 O 0.484 0.112 0.137
13 O 0.461 0.461 0.807
14 O 0.888 0.516 0.863

---

The following is a DFT calculation (GGA-PBE) of crystalline YTeI2O at its relaxed geometry.

For the total magnetization, the calculation gives 1.526 μB per formula unit. As for the space group: P4/mmm, No. 123. The uncorrected formation energy comes out at 0.0016 eV per atom. For the total energy, the calculation gives -17.66 eV/f.u. The calculation puts the mass density at 3.75 Mg/m³. The energy relative to the lowest polymorph listed for this composition is 92.1 kJ per mole of atoms.

Cell: 5.947 5.947 6.088 Å, 90.00 90.00 90.00°
Element x y z (fractional)
1 I 0.000 0.500 0.000
2 I 0.500 0.000 0.000
3 Y 0.000 0.000 0.000
4 Te 0.000 0.000 0.500
5 O 0.500 0.500 0.500

---

The following is a DFT calculation (GGA-PBE) of crystalline YTeI2O at its relaxed geometry.

For the total magnetization, the calculation gives 0.442 μB per formula unit. As for the space group: P4/mmm, No. 123. The uncorrected formation energy comes out at -0.2099 eV per atom. For the total energy, the calculation gives -18.71 eV/f.u. The calculation puts the mass density at 5.13 Mg/m³. The energy relative to the lowest polymorph listed for this composition is 71.7 kJ per mole of atoms.

Cell: 6.227 6.227 4.060 Å, 90.00 90.00 90.00°
Element x y z (fractional)
1 I 0.000 0.500 0.000
2 I 0.500 0.000 0.000
3 Y 0.500 0.500 0.500
4 Te 0.000 0.000 0.000
5 O 0.000 0.000 0.500

---

The following is a DFT calculation (GGA-PBE) of crystalline YTe2IO at its relaxed geometry.

For the total magnetization, the calculation gives 3.425 μB per formula unit. As for the space group: P4/mmm, No. 123. The uncorrected formation energy comes out at 0.1439 eV per atom. For the total energy, the calculation gives -18.54 eV/f.u. The calculation puts the mass density at 3.84 Mg/m³. The energy relative to the lowest polymorph listed for this composition is 61.8 kJ per mole of atoms.

Cell: 5.945 5.945 5.964 Å, 90.00 90.00 90.00°
Element x y z (fractional)
1 I 0.000 0.000 0.500
2 Y 0.000 0.000 0.000
3 Te 0.000 0.500 0.000
4 Te 0.500 0.000 0.000
5 O 0.500 0.500 0.500

---

The following is a DFT calculation (GGA-PBE) of crystalline ZnTeIO2 at its relaxed geometry.

For the total magnetization, the calculation gives 0.000 μB per formula unit. As for the space group: P4/mmm, No. 123. The uncorrected formation energy comes out at 0.3005 eV per atom. For the total energy, the calculation gives -14.38 eV/f.u. The calculation puts the mass density at 6.13 Mg/m³. The energy relative to the lowest polymorph listed for this composition is 55.2 kJ per mole of atoms.

Cell: 4.211 4.211 5.378 Å, 90.00 90.00 90.00°
Element x y z (fractional)
1 I 0.000 0.000 0.500
2 Zn 0.000 0.000 0.000
3 Te 0.500 0.500 0.500
4 O 0.000 0.500 0.000
5 O 0.500 0.000 0.000

---

The following is a DFT calculation (GGA-PBE) of crystalline ZnTeI2O at its relaxed geometry.

For the total magnetization, the calculation gives 0.000 μB per formula unit. As for the space group: P4/mmm, No. 123. The uncorrected formation energy comes out at 0.8384 eV per atom. For the total energy, the calculation gives -8.28 eV/f.u. The calculation puts the mass density at 4.88 Mg/m³. The energy relative to the lowest polymorph listed for this composition is 84.3 kJ per mole of atoms.

Cell: 5.411 5.411 5.383 Å, 90.00 90.00 90.00°
Element x y z (fractional)
1 I 0.000 0.500 0.000
2 I 0.500 0.000 0.000
3 Zn 0.000 0.000 0.000
4 Te 0.000 0.000 0.500
5 O 0.500 0.500 0.500

---

The following is a DFT calculation (GGA-PBE) of crystalline ZnTeI2O at its relaxed geometry.

For the total magnetization, the calculation gives 0.000 μB per formula unit. As for the space group: P4/mmm, No. 123. The uncorrected formation energy comes out at -0.0283 eV per atom. For the total energy, the calculation gives -12.62 eV/f.u. The calculation puts the mass density at 6.01 Mg/m³. The energy relative to the lowest polymorph listed for this composition is 0.7 kJ per mole of atoms.

Cell: 5.890 5.890 3.688 Å, 90.00 90.00 90.00°
Element x y z (fractional)
1 I 0.000 0.500 0.000
2 I 0.500 0.000 0.000
3 Zn 0.000 0.000 0.000
4 Te 0.500 0.500 0.500
5 O 0.000 0.000 0.500

---

The following is a DFT calculation (GGA-PBE) of crystalline ZnTeI2O at its relaxed geometry.

For the total magnetization, the calculation gives 0.000 μB per formula unit. As for the space group: P4/mmm, No. 123. The uncorrected formation energy comes out at -0.0357 eV per atom. For the total energy, the calculation gives -12.65 eV/f.u. The calculation puts the mass density at 4.98 Mg/m³. The energy relative to the lowest polymorph listed for this composition is 0.0 kJ per mole of atoms.

Cell: 6.156 6.156 4.072 Å, 90.00 90.00 90.00°
Element x y z (fractional)
1 I 0.000 0.500 0.000
2 I 0.500 0.000 0.000
3 Zn 0.500 0.500 0.500
4 Te 0.000 0.000 0.000
5 O 0.000 0.000 0.500